Entry from Alexandria: crystalline Ba3GaGe2Au6 at its relaxed geometry (GGA-PBE).

Its final energy is -3.666 eV/atom. As for the density of states at the Fermi level: 0.24 states/eV per atom. The value obtained for the formation enthalpy at 0 K is -0.525 eV per atom.

It has space group P-3m1 (No. 164), with a = 6.9756 Å, b = 6.9756 Å, c = 8.0957 Å, α = 90.00°, β = 90.00° and γ = 120.00°. Symmetry generates all atoms from Ba at (0.0000, 0.0000, 0.0000), Ba at (0.3333, 0.6667, 0.6985), Ga at (0.0000, 0.0000, 0.5000), Ge at (0.3333, 0.6667, 0.1166) and Au at (0.1811, 0.3621, 0.3340).